# CsRbZnTe2 (PBE, optimized geometry)
# **Formation energy from raw total energies**: -0.61 eV per atom
# **Spin magnetization**: 0.0 Bohr magnetons per cell
# **Theoretical density**: 4227 kg/m3
data_CsRbZnTe2
_chemical_formula_sum 'Cs2 Rb2 Zn2 Te4'
_cell_length_a 7.679
_cell_length_b 6.169
_cell_length_c 8.940
_cell_angle_alpha 90.00
_cell_angle_beta 90.00
_cell_angle_gamma 90.00
_symmetry_space_group_name_H-M 'P 1'
_symmetry_Int_Tables_number 1
loop_
_symmetry_equiv_pos_as_xyz
'x,y,z'
loop_
_atom_site_label
_atom_site_type_symbol
_atom_site_fract_x
_atom_site_fract_y
_atom_site_fract_z
_atom_site_occupancy
Cs1 Cs 0.792 0.750 0.500 1
Cs2 Cs 0.208 0.250 0.500 1
Te1 Te 0.817 0.250 0.785 1
Te2 Te 0.183 0.750 0.215 1
Zn1 Zn 0.000 0.000 0.000 1
Rb1 Rb 0.605 0.750 0.000 1
Te3 Te 0.817 0.250 0.215 1
Zn2 Zn 0.000 0.500 0.000 1
Rb2 Rb 0.395 0.250 0.000 1
Te4 Te 0.183 0.750 0.785 1